DFT (GGA+U) results for a relaxed structure of BaFeNF2.

Unit cell a=4.339 b=4.339 c=3.951 alpha=90.00 beta=90.00 gamma=90.00
Each line ends with the local moment (μB).
Sites, in units of the cell vectors:
N 0.000 0.000 0.500  0.37
F 0.000 0.500 0.000  0.07
F 0.500 0.000 0.000  0.07
Ba 0.500 0.500 0.500  0.03
Fe 0.000 0.000 0.000  4.16

Summary:
electronic total energy	-0.208	hartree per atom